## NbAg (PBE)

Data for crystalline NbAg at its relaxed geometry.

Total moment ... 0.00 Bohr magnetons per cell
Total energy ... -6.174 eV per atom

a b c (Å): 8.275 4.323 8.097
angles (deg): 90.00 90.00 90.00
Sites, in units of the cell vectors:
Nb 0.393 0.250 0.766
Nb 0.893 0.250 0.734
Nb 0.607 0.750 0.234
Nb 0.107 0.750 0.266
Nb 0.121 0.250 0.523
Nb 0.621 0.250 0.977
Nb 0.879 0.750 0.477
Nb 0.379 0.750 0.023
Ag 0.363 0.250 0.262
Ag 0.863 0.250 0.238
Ag 0.637 0.750 0.738
Ag 0.137 0.750 0.762
Ag 0.123 0.250 0.006
Ag 0.623 0.250 0.494
Ag 0.877 0.750 0.994
Ag 0.377 0.750 0.506

=====

## CdWCl2 (PBE)

Data for crystalline CdWCl2 at its relaxed geometry.

E_form (uncorrected) ... 610 meV/atom
Total moment ... 2.04 Bohr magnetons per cell

a b c (Å): 3.016 5.806 4.521
angles (deg): 90.00 90.00 90.00
Sites, in units of the cell vectors:
Cl 0.000 0.000 0.000
Cl 0.500 0.500 0.000
W 0.500 0.000 0.500
Cd 0.000 0.500 0.500